1.
# Si2AsSe | Alexandria via LeMat-Bulk | PBEsol | optimized geometry
data_Si2AsSe
_chemical_formula_sum 'Si2 As1 Se1'
_cell_length_a 3.219
_cell_length_b 3.219
_cell_length_c 6.496
_cell_angle_alpha 90.00
_cell_angle_beta 90.00
_cell_angle_gamma 90.00
_space_group_name_H-M_alt 'P 4/m m m'
_space_group_IT_number 123
_space_group_name_Hall '-P 4 2'
loop_
_atom_site_label
_atom_site_type_symbol
_atom_site_fract_x
_atom_site_fract_y
_atom_site_fract_z
Si1 Si 0.000 0.000 0.243
As1 As 0.500 0.500 0.000
Se1 Se 0.500 0.500 0.500
# Volume in Å³/cell: 67.3
# Formation energy (no corrections) in eV per formula unit: 1.5
# Fermi-level density of states in states/eV/f.u.: 1.702
# M_tot in μB per cell: 0.0

2.
# BaLaBe2O | Alexandria via LeMat-Bulk | PBEsol | optimized geometry
data_BaLaBe2O
_chemical_formula_sum 'Ba1 La1 Be2 O1'
_cell_length_a 5.382
_cell_length_b 5.382
_cell_length_c 4.562
_cell_angle_alpha 90.00
_cell_angle_beta 90.00
_cell_angle_gamma 90.00
_space_group_name_H-M_alt 'P 4/m m m'
_space_group_IT_number 123
_space_group_name_Hall '-P 4 2'
loop_
_atom_site_label
_atom_site_type_symbol
_atom_site_fract_x
_atom_site_fract_y
_atom_site_fract_z
Ba1 Ba 0.000 0.000 0.000
La1 La 0.500 0.500 0.500
Be1 Be 0.000 0.500 0.000
O1 O 0.000 0.000 0.500
# Volume in Å³/cell: 132.1
# Formation energy (no corrections) in eV per formula unit: 3.3
# Fermi-level density of states in states/eV/f.u.: 4.526
# M_tot in μB per cell: 0.3

3.
# Ca3Pb | Alexandria via LeMat-Bulk | PBEsol | optimized geometry
data_Ca3Pb
_chemical_formula_sum 'Ca3 Pb1'
_cell_length_a 4.980
_cell_length_b 4.980
_cell_length_c 4.980
_cell_angle_alpha 90.00
_cell_angle_beta 90.00
_cell_angle_gamma 90.00
_space_group_name_H-M_alt 'P m -3 m'
_space_group_IT_number 221
_space_group_name_Hall '-P 4 2 3'
loop_
_atom_site_label
_atom_site_type_symbol
_atom_site_fract_x
_atom_site_fract_y
_atom_site_fract_z
Ca1 Ca 0.000 0.000 0.500
Pb1 Pb 0.500 0.500 0.500
# Energy of formation in eV/f.u.: -1.66
# Volume in Å³/cell: 123.5
# Fermi-level density of states in states/eV/f.u.: 3.050
# M_tot in μB per cell: 0.0